The following is a meta-GGA SCAN calculation of Li2InW2 at its PBEsol-relaxed geometry, from Alexandria via LeMat-Bulk.

Cell and atoms, written as extended XYZ:
```
5
Lattice="-1.820 1.820 6.831 1.820 -1.820 6.831 1.820 1.820 -6.831" Properties=species:S:1:pos:R:3 pbc="T T T"
Li 1.820 0.000 3.416
Li 0.000 1.820 3.416
In 0.000 0.000 0.000
W 0.000 0.000 5.677
W 0.000 0.000 7.985
```

Output
Raw total energy ... -172.277 eV per formula unit

***

The following is a meta-GGA SCAN calculation of Be2Ni at its PBEsol-relaxed geometry, from Alexandria via LeMat-Bulk.

Cell and atoms, written as extended XYZ:
```
6
Lattice="4.083 -1.201 0.000 4.083 1.201 0.000 -1.755 0.000 5.220" Properties=species:S:1:pos:R:3 pbc="T T T"
Be -0.212 0.000 1.516
Be 1.199 0.000 5.044
Be 5.211 0.000 0.177
Be 6.623 0.000 3.704
Ni 2.025 0.000 1.876
Ni 4.386 0.000 3.344
```

Output
Raw total energy ... -25.784 eV per formula unit

***

The following is a meta-GGA SCAN calculation of TaMo3 at its PBEsol-relaxed geometry, from Alexandria via LeMat-Bulk.

Cell and atoms, written as extended XYZ:
```
8
Lattice="-2.236 2.236 6.313 2.236 -2.236 6.313 2.236 2.236 -6.313" Properties=species:S:1:pos:R:3 pbc="T T T"
Ta 0.000 0.000 1.571
Ta 0.000 0.000 11.056
Mo 2.236 0.000 0.000
Mo 2.236 0.000 3.157
Mo 0.000 0.000 4.725
Mo 0.000 2.236 0.000
Mo 0.000 0.000 7.901
Mo 0.000 2.236 3.157
```

Output
Raw total energy ... -171.755 eV per formula unit

***

The following is a meta-GGA SCAN calculation of FeIrBr2 at its PBEsol-relaxed geometry, from Alexandria via LeMat-Bulk.

Cell and atoms, written as extended XYZ:
```
4
Lattice="2.990 -1.726 0.000 2.990 1.726 0.000 -2.068 0.000 8.016" Properties=species:S:1:pos:R:3 pbc="T T T"
Fe 0.000 0.000 0.000
Ir 1.994 0.000 1.317
Br 1.918 0.000 6.364
Br 3.987 0.000 3.020
```

Output
E above lowest polymorph ... 0 meV/atom
Uncorrected formation energy ... 0.00 eV/atom

***

The following is a meta-GGA SCAN calculation of BaCaSCl2 at its PBEsol-relaxed geometry, from Alexandria via LeMat-Bulk.

Cell and atoms, written as extended XYZ:
```
5
Lattice="5.623 0.000 0.000 0.000 5.623 0.000 0.000 0.000 6.019" Properties=species:S:1:pos:R:3 pbc="T T T"
Ba 0.000 0.000 0.000
Ca 2.812 2.812 3.009
S 0.000 0.000 3.009
Cl 0.000 2.812 0.000
Cl 2.812 0.000 0.000
```

Output
Uncorrected formation energy ... -1.61 eV/atom

***

The following is a meta-GGA SCAN calculation of LaMn2Ag at its PBEsol-relaxed geometry, from Alexandria via LeMat-Bulk.

Cell and atoms, written as extended XYZ:
```
4
Lattice="-2.054 2.054 4.400 2.054 -2.054 4.400 2.054 2.054 -4.400" Properties=species:S:1:pos:R:3 pbc="T T T"
La 0.000 0.000 0.000
Mn 0.000 0.000 4.400
Mn 0.000 2.054 2.200
Ag 2.054 0.000 2.200
```

Output
Raw total energy ... -110.388 eV per formula unit